DFT (GGA-PBE) results for an optimized crystal structure of Mg2GaGeN4.

As for the volume: 198 Å³/cell. For the energy relative to the elements, uncorrected, the calculation gives -3.17 eV per formula unit. Its magnetization is 1.9 Bohr magnetons per cell.

abc: 6.3160 5.9091 5.3016
angles: 90.00 90.00 90.00
Atoms (fractional coordinates):
Mg1 0.2489 0.1609 0.0000
Mg2 0.2511 0.8391 0.5000
Mg3 0.7489 0.8391 0.5000
Mg4 0.7511 0.1609 0.0000
Ga1 0.0000 0.3435 0.4969
Ga2 0.5000 0.6565 0.9969
Ge1 0.0000 0.6618 0.9977
Ge2 0.5000 0.3382 0.4977
N1 0.0000 0.3654 0.8678
N2 0.0000 0.6488 0.3536
N3 0.2431 0.8213 0.8969
N4 0.2569 0.1787 0.3969
N5 0.5000 0.3512 0.8536
N6 0.5000 0.6346 0.3678
N7 0.7431 0.1787 0.3969
N8 0.7569 0.8213 0.8969